1.
Entry from Alexandria: an optimized crystal structure of SmTl2BiS4 (GGA-PBE).

Summary:
The uncorrected formation energy comes out at -0.943 eV per atom. The magnetization comes out at 0.0 μB per cell. The uncorrected energy is -4.674 eV per atom. As for the space group: P2/m (10).

Cell lengths 7.184, 4.135, 7.844 Å; angles 90.00, 107.71, 90.00 degrees
Fractional coordinates of all 8 atoms:
1 Sm 0.000 0.000 0.000
2 Tl 0.000 0.500 0.500
3 Tl 0.500 0.000 0.500
4 Bi 0.500 0.500 0.000
5 S 0.232 0.500 0.204
6 S 0.261 0.000 0.793
7 S 0.739 0.000 0.207
8 S 0.768 0.500 0.796

2.
Entry from Alexandria: an optimized crystal structure of Sn2Bi2S (GGA-PBE).

Summary:
The uncorrected formation energy comes out at 0.146 eV per atom. The magnetization comes out at 0.0 μB per cell. The uncorrected energy is -3.833 eV per atom. As for the space group: P4/mbm (127).

Cell lengths 7.683, 7.683, 5.132 Å; angles 90.00, 90.00, 90.00 degrees
Fractional coordinates of all 10 atoms:
1 Sn 0.187 0.313 0.000
2 Sn 0.313 0.813 0.000
3 Sn 0.687 0.187 0.000
4 Sn 0.813 0.687 0.000
5 Bi 0.138 0.638 0.500
6 Bi 0.362 0.138 0.500
7 Bi 0.638 0.862 0.500
8 Bi 0.862 0.362 0.500
9 S 0.000 0.000 0.000
10 S 0.500 0.500 0.000

3.
Entry from Alexandria: an optimized crystal structure of Sn2Bi2S (GGA-PBE).

Summary:
The uncorrected formation energy comes out at 0.145 eV per atom. The magnetization comes out at 0.0 μB per cell. The uncorrected energy is -3.834 eV per atom. As for the space group: P4/mbm (127).

Cell lengths 8.027, 8.027, 4.738 Å; angles 90.00, 90.00, 90.00 degrees
Fractional coordinates of all 10 atoms:
1 Sn 0.128 0.372 0.000
2 Sn 0.372 0.872 0.000
3 Sn 0.628 0.128 0.000
4 Sn 0.872 0.628 0.000
5 Bi 0.196 0.696 0.500
6 Bi 0.304 0.196 0.500
7 Bi 0.696 0.804 0.500
8 Bi 0.804 0.304 0.500
9 S 0.000 0.000 0.500
10 S 0.500 0.500 0.500

4.
Entry from Alexandria: an optimized crystal structure of SnBiS4 (GGA-PBE).

Summary:
The uncorrected formation energy comes out at -0.193 eV per atom. The magnetization comes out at 0.0 μB per cell. The uncorrected energy is -4.258 eV per atom. As for the space group: P2/m (10).

Cell lengths 6.647, 3.778, 6.715 Å; angles 90.00, 91.51, 90.00 degrees
Fractional coordinates of all 6 atoms:
1 Sn 0.000 0.000 0.000
2 Bi 0.500 0.500 0.000
3 S 0.145 0.500 0.776
4 S 0.318 0.000 0.232
5 S 0.682 0.000 0.768
6 S 0.855 0.500 0.224

5.
Entry from Alexandria: an optimized crystal structure of Sn3BiS (GGA-PBE).

Summary:
Its excess energy over the best structure of this formula in the dataset is 0.0 kJ/mol of atoms. The uncorrected formation energy comes out at 0.150 eV per atom. The magnetization comes out at 0.0 μB per cell. The uncorrected energy is -3.853 eV per atom. As for the space group: Pm-3m (221).

Cell lengths 5.381, 5.381, 5.381 Å; angles 90.00, 90.00, 90.00 degrees
Fractional coordinates of all 5 atoms:
1 Sn 0.000 0.000 0.500
2 Sn 0.000 0.500 0.000
3 Sn 0.500 0.000 0.000
4 Bi 0.500 0.500 0.500
5 S 0.000 0.000 0.000

6.
Entry from Alexandria: an optimized crystal structure of Sn3BiS (GGA-PBE).

Summary:
Its excess energy over the best structure of this formula in the dataset is 74.9 kJ/mol of atoms. The uncorrected formation energy comes out at 0.926 eV per atom. The magnetization comes out at 0.0 μB per cell. The uncorrected energy is -3.077 eV per atom. As for the space group: Pm-3m (221).

Cell lengths 5.896, 5.896, 5.896 Å; angles 90.00, 90.00, 90.00 degrees
Fractional coordinates of all 5 atoms:
1 Sn 0.000 0.000 0.500
2 Sn 0.000 0.500 0.000
3 Sn 0.500 0.000 0.000
4 Bi 0.000 0.000 0.000
5 S 0.500 0.500 0.500